Entry from Alexandria: NaMoO2F after structural relaxation (GGA+U).

Unit cell a=4.0533 b=4.0533 c=3.8287 alpha=90.00 beta=90.00 gamma=90.00
Space group P4/mmm (No. 123)
One atom of each set of equivalent atoms:
Na 0.0000 0.0000 0.0000
Mo 0.5000 0.5000 0.5000
O 0.0000 0.5000 0.0000
F 0.0000 0.0000 0.5000

The calculation puts the density of states at the Fermi level at 2.716 states/eV/f.u. The energy comes out at -21.81 eV/cell.